# Sr2LiTc

Crystalline Sr2LiTc at its relaxed geometry (PBE, Alexandria via LeMat-Bulk).

Output
- Crystal system: cubic
- Calculated total energy: -49.9 eV for the cell shown
- Total magnetization: 7.7 μB/cell
- Density: 4.11 g cm⁻³

Unit cell a=7.681 b=7.681 c=7.681 alpha=90.00 beta=90.00 gamma=90.00
Space group F-43m (No. 216)
Unique sites:
1 Sr 0.000 0.000 0.000 [4 per cell]
2 Sr 0.250 0.250 0.250 [4 per cell]
3 Li 0.000 0.000 0.500 [4 per cell]
4 Tc 0.250 0.250 0.750 [4 per cell]